HfZr2Ni2 | PBEsol | relaxed

The space group is P4/mbm (No. 127) and the conventional cell measures 7.2260, 7.2260 and 3.2625 Å, with angles of 90.00, 90.00 and 90.00 degrees. The asymmetric unit holds Hf at (0.0000, 0.0000, 0.0000), Zr at (0.1686, 0.3314, 0.5000) and Ni at (0.1242, 0.6242, 0.0000).

The total energy is -85.467 eV/cell. The calculation puts the formation energy at -0.347 eV per atom. The crystal system is tetragonal.